Entry P
This record from Alexandria describes crystalline Tb2Pm2Nd3 at its relaxed geometry. The functional is PBE-GGA.

abc: 3.639 10.921 8.133
angles: 94.36 47.81 90.01
Atoms (fractional coordinates):
Tb  0.286  0.286  0.143
Tb  0.714  0.714  0.857
Pm  0.146  0.143  0.569
Pm  0.854  0.857  0.431
Nd  0.000  0.000  0.000
Nd  0.573  0.571  0.284
Nd  0.427  0.429  0.716

The density of states at the Fermi level is 10.150 states/eV/f.u. As for the crystal system: monoclinic. As for the space group: No. 12. The calculated volume is 34.03 Å³/atom.


Entry Q
This record from Alexandria describes crystalline Tb2Pm2Nd3 at its relaxed geometry. The functional is PBE-GGA.

abc: 3.554 8.699 9.073
angles: 118.33 101.29 90.00
Atoms (fractional coordinates):
Tb  0.853  0.669  0.706
Tb  0.147  0.331  0.294
Pm  0.565  0.910  0.129
Pm  0.435  0.090  0.871
Nd  0.000  0.500  0.000
Nd  0.213  0.798  0.426
Nd  0.787  0.202  0.574

The density of states at the Fermi level is 10.544 states/eV/f.u. As for the crystal system: monoclinic. As for the space group: No. 12. The calculated volume is 34.39 Å³/atom.


Least stable = entry Q